(1)
A plane-wave DFT calculation with GGA-PBE was carried out for a relaxed Cd3P2 crystal.

Lattice parameters (Å, degrees): 8.868 8.868 12.424 90.00 90.00 90.00
Atoms (fractional coordinates):
Cd (0.750, 0.539, 0.133)
Cd (0.750, 0.961, 0.133)
Cd (0.961, 0.750, 0.633)
Cd (0.539, 0.750, 0.633)
Cd (0.250, 0.039, 0.867)
Cd (0.250, 0.461, 0.867)
Cd (0.039, 0.250, 0.367)
Cd (0.461, 0.250, 0.367)
Cd (0.750, 0.465, 0.851)
Cd (0.750, 0.035, 0.851)
Cd (0.035, 0.750, 0.351)
Cd (0.465, 0.750, 0.351)
Cd (0.250, 0.965, 0.149)
Cd (0.250, 0.535, 0.149)
Cd (0.965, 0.250, 0.649)
Cd (0.535, 0.250, 0.649)
Cd (0.750, 0.493, 0.400)
Cd (0.750, 0.007, 0.400)
Cd (0.007, 0.750, 0.900)
Cd (0.493, 0.750, 0.900)
Cd (0.250, 0.993, 0.600)
Cd (0.250, 0.507, 0.600)
Cd (0.993, 0.250, 0.100)
Cd (0.507, 0.250, 0.100)
P (0.750, 0.250, 0.992)
P (0.250, 0.750, 0.492)
P (0.250, 0.750, 0.008)
P (0.750, 0.250, 0.508)
P (0.750, 0.750, 0.991)
P (0.750, 0.750, 0.491)
P (0.250, 0.250, 0.009)
P (0.250, 0.250, 0.509)
P (0.008, 0.508, 0.750)
P (0.492, 0.992, 0.750)
P (0.992, 0.008, 0.250)
P (0.508, 0.492, 0.250)
P (0.992, 0.492, 0.250)
P (0.508, 0.008, 0.250)
P (0.008, 0.992, 0.750)
P (0.492, 0.508, 0.750)

Summary:
Space-group type: P4_2/nmc
Formation enthalpy at 0 K in eV per atom: -0.05
Size of the total moment in μB/cell: 0.000

---

(2)
A plane-wave DFT calculation with GGA-PBE was carried out for a relaxed La2ZnCoCu crystal.

Lattice parameters (Å, degrees): 4.107 7.714 7.430 110.64 90.00 90.00
Atoms (fractional coordinates):
La (0.750, 0.878, 0.645)
La (0.750, 0.718, 0.037)
La (0.250, 0.122, 0.355)
La (0.250, 0.282, 0.963)
Zn (0.250, 0.555, 0.659)
Zn (0.750, 0.445, 0.341)
Co (0.250, 0.884, 0.898)
Co (0.750, 0.116, 0.102)
Cu (0.250, 0.654, 0.339)
Cu (0.750, 0.346, 0.661)

Summary:
Space-group type: P2_1/m
Formation enthalpy at 0 K in eV per atom: -0.20
Size of the total moment in μB/cell: 0.000

---

(3)
A plane-wave DFT calculation with GGA-PBE was carried out for a relaxed Ho2PdCl crystal.

Lattice parameters (Å, degrees): 3.943 3.943 7.934 75.61 75.61 60.00
Atoms (fractional coordinates):
Ho (0.071, 0.071, 0.788)
Ho (0.266, 0.266, 0.203)
Pd (0.668, 0.668, 0.996)
Cl (0.496, 0.496, 0.513)

Summary:
Space-group type: R3m
ΔE_f (raw) in meV per atom: -1045
Size of the total moment in μB/cell: 0.000

---

(4)
A plane-wave DFT calculation with GGA-PBE was carried out for a relaxed EuPuCdGa crystal.

Lattice parameters (Å, degrees): 5.337 5.337 5.337 60.00 60.00 60.00
Atoms (fractional coordinates):
Eu (0.500, 0.500, 0.500)
Pu (0.000, 0.000, 0.000)
Ga (0.250, 0.250, 0.250)
Cd (0.750, 0.750, 0.750)

Summary:
Space-group type: F-43m
Formation enthalpy at 0 K in eV per atom: -0.19
Size of the total moment in μB/cell: 12.765

---

(5)
A plane-wave DFT calculation with GGA-PBE was carried out for a relaxed Sr2MgGe crystal.

Lattice parameters (Å, degrees): 3.953 3.953 8.197 90.00 90.00 90.00
Atoms (fractional coordinates):
Sr (0.000, 0.000, 0.778)
Sr (0.000, 0.000, 0.222)
Ge (0.500, 0.500, 0.000)
Mg (0.500, 0.500, 0.500)

Summary:
Space-group type: P4/mmm
Formation enthalpy at 0 K in eV per atom: -0.27
Size of the total moment in μB/cell: 0.000

---

(6)
A plane-wave DFT calculation with GGA-PBE was carried out for a relaxed Cs2LiIn2Te4 crystal.

Lattice parameters (Å, degrees): 5.282 8.325 8.574 104.20 90.00 108.50
Atoms (fractional coordinates):
Cs (0.868, 0.737, 0.419)
Cs (0.132, 0.263, 0.581)
Li (0.000, 0.000, 0.000)
In (0.353, 0.707, 0.980)
In (0.647, 0.293, 0.020)
Te (0.800, 0.601, 0.840)
Te (0.200, 0.399, 0.160)
Te (0.506, 0.012, 0.240)
Te (0.494, 0.988, 0.760)

Summary:
Space-group type: C2/m
ΔE_f (raw) in meV per atom: -699
Size of the total moment in μB/cell: 0.000

---

Repeat the third record exactly.
A plane-wave DFT calculation with GGA-PBE was carried out for a relaxed Ho2PdCl crystal.

Lattice parameters (Å, degrees): 3.943 3.943 7.934 75.61 75.61 60.00
Atoms (fractional coordinates):
Ho (0.071, 0.071, 0.788)
Ho (0.266, 0.266, 0.203)
Pd (0.668, 0.668, 0.996)
Cl (0.496, 0.496, 0.513)

Summary:
Space-group type: R3m
ΔE_f (raw) in meV per atom: -1045
Size of the total moment in μB/cell: 0.000

---

Question: Among the records above, which one has the highest size of the total moment?
Answer: EuPuCdGa

---

What did the fifth record say?
A plane-wave DFT calculation with GGA-PBE was carried out for a relaxed Sr2MgGe crystal.

Lattice parameters (Å, degrees): 3.953 3.953 8.197 90.00 90.00 90.00
Atoms (fractional coordinates):
Sr (0.000, 0.000, 0.778)
Sr (0.000, 0.000, 0.222)
Ge (0.500, 0.500, 0.000)
Mg (0.500, 0.500, 0.500)

Summary:
Space-group type: P4/mmm
Formation enthalpy at 0 K in eV per atom: -0.27
Size of the total moment in μB/cell: 0.000